This record from Alexandria describes crystalline LiNd2Si4Pd3 at its relaxed geometry. The functional is GGA-PBE.

The formation energy without anion corrections comes out at -790 meV per atom. As for the total magnetization: 0.000 μB per formula unit. Its volume is 180.6 Å³/cell.

The structure belongs to space group P-4m2 (No. 115); the cell edges are 4.229, 4.229 and 10.098 Å and the angles 90.00°, 90.00° and 90.00°. The inequivalent atoms are Li at (0.000, 0.000, 0.000), Nd at (0.000, 0.500, 0.749), Si at (0.000, 0.000, 0.500), Si at (0.000, 0.500, 0.136), Si at (0.500, 0.500, 0.500), Pd at (0.000, 0.500, 0.380) and Pd at (0.500, 0.500, 0.000).